Record 1
## ZnMoCl6 (PBE)

Data for a relaxed structure of ZnMoCl6.

Unit cell a=6.602 b=6.602 c=6.602 alpha=55.99 beta=55.99 gamma=55.99
Element x y z (fractional)
Zn: 0.000 0.000 0.000
Mo: 0.500 0.500 0.500
Cl: 0.106 0.741 0.407
Cl: 0.259 0.593 0.894
Cl: 0.407 0.106 0.741
Cl: 0.593 0.894 0.259
Cl: 0.741 0.407 0.106
Cl: 0.894 0.259 0.593

- Space-group type: R-3 (148)
- Formation energy from raw total energies: -0.837 eV per atom

Record 2
## ZnMo2Cl (PBE)

Data for a relaxed structure of ZnMo2Cl.

Unit cell a=4.837 b=4.837 c=4.970 alpha=103.64 beta=103.64 gamma=34.10
Element x y z (fractional)
Zn: 0.000 0.000 0.000
Mo: 0.246 0.246 0.752
Mo: 0.754 0.754 0.248
Cl: 0.500 0.500 0.500

- Space-group type: C2/m (12)
- Formation energy from raw total energies: 0.541 eV per atom
- Distance to the lowest polymorph of the same formula: 356.7 meV per atom